K3Mo2Cl9 after structural relaxation. Source: Alexandria, functional PBE.

Calculated values
E above lowest polymorph (kcal/mol of atoms): 0.00
DFT total energy (Ha/atom): -0.1594
V (Å³/f.u.): 402
Raw formation energy (meV per atom): -1368

a = 7.2492 Å, b = 7.2492 Å, c = 17.6824 Å
α = 90.00°, β = 90.00°, γ = 120.00°
Space group P6_3/m (No. 176)
Asymmetric unit:
K (0.0000, 0.0000, 0.2500)
K (0.3333, 0.6667, 0.0557)
Mo (0.3333, 0.6667, 0.6718)
Cl (0.0104, 0.5607, 0.7500)
Cl (0.1201, 0.3563, 0.5940)